1.
{"formula": "BeNiOs", "functional": "meta-GGA SCAN", "state": "single point on PBEsol structure", "space_group": "F-43m, No. 216", "lattice_angstrom": [[0.000, 2.723, 2.723], [2.723, 0.000, 2.723], [2.723, 2.723, 0.000]], "species": ["Be", "Ni", "Os"], "frac_coords": [[0.000, 0.000, 0.000], [0.500, 0.500, 0.500], [0.250, 0.250, 0.250]]}


2.
{"formula": "Be2NiP", "functional": "meta-GGA SCAN", "state": "single point on PBEsol structure", "space_group": "Pmm2, No. 25", "lattice_angstrom": [[2.686, 0.000, 0.000], [0.000, 3.634, 0.000], [0.000, 0.000, 3.949]], "species": ["Be", "Be", "Ni", "P"], "frac_coords": [[0.000, 0.000, 0.000], [0.000, 0.500, 0.330], [0.500, 0.500, 0.817], [0.500, 0.000, 0.478]]}


3.
{"formula": "Be2NiP", "functional": "meta-GGA SCAN", "state": "single point on PBEsol structure", "space_group": "P4mm, No. 99", "lattice_angstrom": [[2.952, 0.000, 0.000], [0.000, 2.952, 0.000], [0.000, 0.000, 4.476]], "species": ["Be", "Be", "Ni", "P"], "frac_coords": [[0.000, 0.000, 0.000], [0.500, 0.500, 0.240], [0.000, 0.000, 0.496], [0.500, 0.500, 0.747]]}


4.
{"formula": "BeNiP4", "functional": "meta-GGA SCAN", "state": "single point on PBEsol structure", "space_group": "F-43m, No. 216", "lattice_angstrom": [[0.000, 3.407, 3.407], [3.407, 0.000, 3.407], [3.407, 3.407, 0.000]], "species": ["Be", "Ni", "P", "P", "P", "P"], "frac_coords": [[0.000, 0.000, 0.000], [0.750, 0.750, 0.750], [0.375, 0.375, 0.375], [0.375, 0.375, 0.875], [0.375, 0.875, 0.375], [0.875, 0.375, 0.375]]}


5.
{"formula": "BeNiP2", "functional": "meta-GGA SCAN", "state": "single point on PBEsol structure", "space_group": "I4/mmm, No. 139", "lattice_angstrom": [[-1.849, 1.849, 3.330], [1.849, -1.849, 3.330], [1.849, 1.849, -3.330]], "species": ["Be", "Ni", "P", "P"], "frac_coords": [[0.000, 0.000, 0.000], [0.500, 0.500, 0.000], [0.250, 0.750, 0.500], [0.750, 0.250, 0.500]]}


6.
{"formula": "BeNiP2", "functional": "meta-GGA SCAN", "state": "single point on PBEsol structure", "space_group": "C2/m, No. 12", "lattice_angstrom": [[3.270, -1.395, 0.000], [3.270, 1.395, 0.000], [-1.409, 0.000, 5.155]], "species": ["Be", "Ni", "P", "P"], "frac_coords": [[0.000, 0.000, 0.000], [0.500, 0.500, 0.500], [0.252, 0.252, 0.748], [0.748, 0.748, 0.252]]}


Number 1: energy -30.128 eV/atom. Number 2: energy -8.959 eV/atom. Number 3: energy -8.934 eV/atom. Number 4: energy -9.382 eV/atom. Number 5: energy -10.014 eV/atom. Number 6: energy -10.306 eV/atom.